# 1
The following is a GGA-PBE calculation of a geometry-optimized ZnFeNiSb structure, from OQMD.

Unit cell a=4.2984 b=4.2984 c=4.2984 alpha=60.00 beta=60.00 gamma=60.00
Closest atoms and distances in Å follow each position.
Fractional positions:
Ni1 0.5000 0.5000 0.5000  4 Sb 2.63, 4 Zn 2.63
Sb1 0.2500 0.2500 0.2500  4 Ni 2.63, 4 Fe 2.63
Fe1 0.0000 0.0000 0.0000  4 Sb 2.63, 4 Zn 2.63
Zn1 0.7500 0.7500 0.7500  4 Ni 2.63, 4 Fe 2.63

magnetic moment	1.72	μB/f.u.
DFT total energy	-4.78	eV per atom
symmetry	No. 216

---

# 2
The following is a GGA-PBE calculation of a geometry-optimized SiB4Mo structure, from OQMD.

Unit cell a=3.0043 b=3.0043 c=6.8655 alpha=90.00 beta=90.00 gamma=120.00
Closest atoms and distances in Å follow each position.
Fractional positions:
B1 0.6667 0.3333 0.2507  3 B 1.73
B2 0.3333 0.6667 0.2507  3 B 1.73
B3 0.3333 0.6667 0.7493  3 B 1.73
B4 0.6667 0.3333 0.7493  3 B 1.73
Mo1 0.0000 0.0000 0.5000  12 B 2.44
Si1 0.0000 0.0000 0.0000  12 B 2.44

magnetic moment	0.00	μB/f.u.
DFT total energy	-7.03	eV per atom
symmetry	No. 191

---

# 3
The following is a GGA-PBE calculation of a geometry-optimized AgP3S6 structure, from OQMD.

Unit cell a=7.0330 b=11.4570 c=5.9187 alpha=90.00 beta=106.66 gamma=90.00
Closest atoms and distances in Å follow each position.
Fractional positions:
S1 0.2173 0.7574 0.9693  2 P 2.12-2.22
S2 0.7161 0.4022 0.5386  1 P 1.99
S3 0.2335 0.1081 0.0023  1 P 2.03
S4 0.7665 0.1081 0.4977  1 P 2.03
S5 0.7665 0.8919 0.9977  1 P 2.03
S6 0.2839 0.4022 0.9614  1 P 1.99
S7 0.2839 0.5978 0.4614  1 P 1.99
S8 0.7161 0.5978 0.0386  1 P 1.99
S9 0.2173 0.2426 0.4693  2 P 2.12-2.22
S10 0.7827 0.2426 0.0307  2 P 2.12-2.22
S11 0.2335 0.8919 0.5023  1 P 2.03
S12 0.7827 0.7574 0.5307  2 P 2.12-2.22
P1 0.8345 0.7446 0.1954  3 S 1.99-2.12
P2 0.1655 0.7446 0.3046  3 S 1.99-2.12
P3 0.0000 0.1172 0.2500  2 S 2.22
P4 0.8345 0.2554 0.6954  3 S 1.99-2.12
P5 0.1655 0.2554 0.8046  3 S 1.99-2.12
P6 0.0000 0.8828 0.7500  2 S 2.22
Ag1 0.0000 0.4527 0.2500  2 S 2.62
Ag2 0.0000 0.5473 0.7500  2 S 2.62

DFT total energy	-4.50	eV per atom
symmetry	No. 13

---

# 4
The following is a GGA-PBE calculation of a geometry-optimized NaZrBeAu structure, from OQMD.

Unit cell a=4.6732 b=4.6732 c=4.6732 alpha=60.00 beta=60.00 gamma=60.00
Closest atoms and distances in Å follow each position.
Fractional positions:
Zr1 0.0000 0.0000 0.0000  4 Au 2.86, 4 Be 2.86
Au1 0.7500 0.7500 0.7500  4 Zr 2.86, 4 Na 2.86
Na1 0.5000 0.5000 0.5000  4 Be 2.86, 4 Au 2.86
Be1 0.2500 0.2500 0.2500  4 Na 2.86, 4 Zr 2.86

magnetic moment	0.00	μB/f.u.
DFT total energy	-4.09	eV per atom
symmetry	No. 216

---

# 5
The following is a GGA-PBE calculation of a geometry-optimized LiHf2Fe structure, from OQMD.

Unit cell a=4.5006 b=4.5006 c=4.5006 alpha=60.00 beta=60.00 gamma=60.00
Closest atoms and distances in Å follow each position.
Fractional positions:
Li1 0.5000 0.5000 0.5000  4 Fe 2.76, 4 Hf 2.76
Hf1 0.7500 0.7500 0.7500  4 Li 2.76, 4 Hf 2.76
Hf2 0.0000 0.0000 0.0000  4 Hf 2.76, 4 Fe 2.76
Fe1 0.2500 0.2500 0.2500  4 Li 2.76, 4 Hf 2.76

magnetic moment	0.19	μB/f.u.
DFT total energy	-7.14	eV per atom
symmetry	No. 216

---

# 6
The following is a GGA-PBE calculation of a geometry-optimized KTmBe structure, from OQMD.

Unit cell a=5.0551 b=5.0551 c=5.0551 alpha=60.00 beta=60.00 gamma=60.00
Closest atoms and distances in Å follow each position.
Fractional positions:
Be1 0.2500 0.2500 0.2500  4 Tm 3.10
Tm1 0.0000 0.0000 0.0000  4 K 3.10, 4 Be 3.10
K1 0.7500 0.7500 0.7500  4 Tm 3.10

magnetic moment	0.36	μB/f.u.
DFT total energy	-1.81	eV per atom
symmetry	No. 216

---

# 7
The following is a GGA-PBE calculation of a geometry-optimized FeB4 structure, from OQMD.

Unit cell a=3.6720 b=3.6720 c=3.6720 alpha=60.00 beta=60.00 gamma=60.00
Closest atoms and distances in Å follow each position.
Fractional positions:
B1 0.3769 0.8692 0.3769  6 B 1.81-1.86
B2 0.3769 0.3769 0.8692  6 B 1.81-1.86
B3 0.8692 0.3769 0.3769  6 B 1.81-1.86
B4 0.3769 0.3769 0.3769  6 B 1.81-1.86
Fe1 0.0000 0.0000 0.0000  12 B 2.16

magnetic moment	0.00	μB/f.u.
DFT total energy	-7.08	eV per atom
symmetry	No. 216

---

# 8
The following is a GGA-PBE calculation of a geometry-optimized CsTaCuSe2S structure, from OQMD.

Unit cell a=8.3456 b=8.3456 c=9.7359 alpha=90.00 beta=90.00 gamma=154.08
Closest atoms and distances in Å follow each position.
Fractional positions:
Se1 0.1123 0.8877 0.4547  1 Cu 2.40, 2 Ta 2.65
Se2 0.1123 0.8877 0.0453  1 Cu 2.40, 2 Ta 2.65
Se3 0.8877 0.1123 0.5453  1 Cu 2.40, 2 Ta 2.65
Se4 0.8877 0.1123 0.9547  1 Cu 2.40, 2 Ta 2.65
S1 0.5513 0.4487 0.7500  2 Cu 2.29
S2 0.4487 0.5513 0.2500  2 Cu 2.29
Cu1 0.9696 0.0304 0.7500  2 S 2.29, 2 Se 2.40
Cu2 0.0304 0.9696 0.2500  2 S 2.29, 2 Se 2.40
Cs1 0.2417 0.7583 0.7500  6 Se 3.56-3.62, 2 S 3.62, 2 Cs 3.74
Cs2 0.7583 0.2417 0.2500  6 Se 3.56-3.62, 2 S 3.62, 2 Cs 3.74
Ta1 0.5000 0.5000 0.0000  2 S 2.57, 4 Se 2.65
Ta2 0.5000 0.5000 0.5000  2 S 2.57, 4 Se 2.65

magnetic moment	0.08	μB/f.u.
DFT total energy	-5.36	eV per atom
symmetry	No. 63

---

# 9
The following is a GGA-PBE calculation of a geometry-optimized NdGd2Cd3Ga2Ag structure, from OQMD.

Unit cell a=4.3888 b=7.4634 c=7.4634 alpha=120.13 beta=90.00 gamma=90.00
Closest atoms and distances in Å follow each position.
Fractional positions:
Ga1 0.5000 0.6696 0.3326  3 Cd 2.81-2.86, 4 Gd 3.12-3.13
Ga2 0.5000 0.3326 0.6696  3 Cd 2.81-2.86, 4 Gd 3.12-3.13
Cd1 0.5000 0.7497 0.7497  2 Ga 2.86, 2 Ag 2.86
Cd2 0.5000 0.2512 0.9988  2 Ga 2.81-2.85, 2 Ag 2.90
Cd3 0.5000 0.9988 0.2512  2 Ga 2.81-2.85, 2 Ag 2.90
Nd1 0.0000 0.4185 0.4185  1 Ag 3.15, 4 Ga 3.15, 6 Cd 3.30-3.50
Ag1 0.0000 0.9963 0.9963  6 Cd 2.86-2.90, 2 Gd 3.11, 1 Nd 3.15
Gd1 0.0000 0.5822 0.0011  1 Ag 3.11, 4 Ga 3.12-3.13, 2 Cd 3.30
Gd2 0.0000 0.0011 0.5822  1 Ag 3.11, 4 Ga 3.12-3.13, 2 Cd 3.30

magnetic moment	0.00	μB/f.u.
DFT total energy	-3.34	eV per atom
symmetry	No. 38

---

# 10
The following is a GGA-PBE calculation of a geometry-optimized Nd3Mg3CdGaHg structure, from OQMD.

Unit cell a=7.5660 b=7.5660 c=4.6831 alpha=90.00 beta=90.00 gamma=120.00
Closest atoms and distances in Å follow each position.
Fractional positions:
Nd1 0.0088 0.4303 0.0000  2 Ga 3.21, 1 Cd 3.22, 2 Hg 3.29, 2 Mg 3.43
Nd2 0.5697 0.5785 0.0000  2 Ga 3.21, 1 Cd 3.22, 2 Hg 3.29, 2 Mg 3.43
Nd3 0.4215 0.9912 0.0000  2 Ga 3.21, 1 Cd 3.22, 2 Hg 3.29, 2 Mg 3.43
Cd1 0.0000 0.0000 0.0000  6 Mg 2.98, 3 Nd 3.22
Mg1 0.0036 0.7586 0.5000  1 Ga 2.91, 1 Hg 2.94, 2 Cd 2.98, 2 Mg 3.19
Mg2 0.2414 0.2449 0.5000  1 Ga 2.91, 1 Hg 2.94, 2 Cd 2.98, 2 Mg 3.19
Mg3 0.7551 0.9964 0.5000  1 Ga 2.91, 1 Hg 2.94, 2 Cd 2.98, 2 Mg 3.19
Hg1 0.6667 0.3333 0.5000  3 Mg 2.94, 6 Nd 3.29
Ga1 0.3333 0.6667 0.5000  3 Mg 2.91, 6 Nd 3.21

magnetic moment	0.07	μB/f.u.
DFT total energy	-2.97	eV per atom
symmetry	No. 174

---

# 11
The following is a GGA-PBE calculation of a geometry-optimized Nb4GaGeC2 structure, from OQMD.

Unit cell a=3.2035 b=3.2035 c=13.1580 alpha=90.00 beta=90.00 gamma=120.00
Closest atoms and distances in Å follow each position.
Fractional positions:
Nb1 0.3333 0.6667 0.3368  3 C 2.20
Nb2 0.0000 0.0000 0.1539  3 C 2.21
Nb3 0.3333 0.6667 0.6632  3 C 2.20
Nb4 0.0000 0.0000 0.8461  3 C 2.21
C1 0.6667 0.3333 0.2463  6 Nb 2.20-2.21
C2 0.6667 0.3333 0.7537  6 Nb 2.20-2.21
Ga1 0.0000 0.0000 0.5000  6 Nb 2.83
Ge1 0.3333 0.6667 0.0000  6 Nb 2.74

magnetic moment	0.00	μB/f.u.
DFT total energy	-8.82	eV per atom
symmetry	No. 187

---

# 12
The following is a GGA-PBE calculation of a geometry-optimized BaZnSO structure, from OQMD.

Unit cell a=7.6527 b=3.5413 c=12.3281 alpha=90.00 beta=90.00 gamma=90.00
Closest atoms and distances in Å follow each position.
Fractional positions:
O1 0.7645 0.2500 0.3824  2 Zn 2.09
O2 0.2645 0.2500 0.1176  2 Zn 2.09
O3 0.7355 0.7500 0.8824  2 Zn 2.09
O4 0.2355 0.7500 0.6176  2 Zn 2.09
Zn1 0.1697 0.7500 0.0489  2 O 2.09
Zn2 0.3303 0.2500 0.5489  2 O 2.09
Zn3 0.6697 0.7500 0.4511  2 O 2.09
Zn4 0.8303 0.2500 0.9511  2 O 2.09
S1 0.6329 0.2500 0.6126  3 Zn 2.45-2.68
S2 0.1329 0.2500 0.8874  3 Zn 2.45-2.68
S3 0.8671 0.7500 0.1126  3 Zn 2.45-2.68
S4 0.3671 0.7500 0.3874  3 Zn 2.45-2.68
Ba1 0.0633 0.2500 0.2923  2 O 2.54-2.65
Ba2 0.9367 0.7500 0.7077  2 O 2.54-2.65
Ba3 0.5633 0.2500 0.2077  2 O 2.54-2.65
Ba4 0.4367 0.7500 0.7923  2 O 2.54-2.65

DFT total energy	-4.49	eV per atom
symmetry	No. 62

---

# 13
The following is a GGA-PBE calculation of a geometry-optimized ScFeBPt structure, from OQMD.

Unit cell a=4.2985 b=4.2985 c=4.2985 alpha=60.00 beta=60.00 gamma=60.00
Closest atoms and distances in Å follow each position.
Fractional positions:
B1 0.0000 0.0000 0.0000  4 Sc 2.63, 4 Fe 2.63
Fe1 0.7500 0.7500 0.7500  4 B 2.63, 4 Pt 2.63
Sc1 0.2500 0.2500 0.2500  4 B 2.63, 4 Pt 2.63
Pt1 0.5000 0.5000 0.5000  4 Sc 2.63, 4 Fe 2.63

magnetic moment	2.89	μB/f.u.
DFT total energy	-6.76	eV per atom
symmetry	No. 216

---

# 14
The following is a GGA-PBE calculation of a geometry-optimized Gd3Al3Ni2Ge structure, from OQMD.

Unit cell a=7.9923 b=7.9923 c=3.2520 alpha=90.00 beta=90.00 gamma=120.00
Closest atoms and distances in Å follow each position.
Fractional positions:
Ni1 0.6667 0.3333 0.0000  3 Gd 2.78, 6 Al 3.00
Ni2 0.3333 0.6667 0.0000  3 Gd 2.78, 6 Al 3.00
Gd1 0.3056 0.0000 0.0000  2 Ni 2.78, 2 Ge 2.93, 2 Al 3.04
Gd2 0.0000 0.3056 0.0000  2 Ni 2.78, 2 Ge 2.93, 2 Al 3.04
Gd3 0.6944 0.6944 0.0000  2 Ni 2.78, 2 Ge 2.93, 2 Al 3.04
Ge1 0.0000 0.0000 0.5000  6 Gd 2.93, 3 Al 2.99, 2 Ge 3.25
Al1 0.6264 0.0000 0.5000  1 Ge 2.99, 4 Ni 3.00, 6 Gd 3.04-3.20, 2 Al 3.25
Al2 0.0000 0.6264 0.5000  1 Ge 2.99, 4 Ni 3.00, 6 Gd 3.04-3.20, 2 Al 3.25
Al3 0.3736 0.3736 0.5000  1 Ge 2.99, 4 Ni 3.00, 6 Gd 3.04-3.20, 2 Al 3.25

magnetic moment	0.02	μB/f.u.
DFT total energy	-4.71	eV per atom
symmetry	No. 189

---

# 15
The following is a GGA-PBE calculation of a geometry-optimized DyPd2Au structure, from OQMD.

Unit cell a=4.2300 b=4.2300 c=4.0414 alpha=90.00 beta=90.00 gamma=90.00
Closest atoms and distances in Å follow each position.
Fractional positions:
Au1 0.0000 0.0000 0.5000  8 Pd 2.93, 4 Dy 2.99
Pd1 0.5000 0.0000 0.0000  4 Dy 2.93, 4 Au 2.93, 4 Pd 2.99
Pd2 0.0000 0.5000 0.0000  4 Dy 2.93, 4 Au 2.93, 4 Pd 2.99
Dy1 0.5000 0.5000 0.5000  8 Pd 2.93, 4 Au 2.99

magnetic moment	0.00	μB/f.u.
energy of formation from the pure elements	-0.871	eV per atom
DFT total energy	-5.43	eV per atom
symmetry	No. 123

---

# 16
The following is a GGA-PBE calculation of a geometry-optimized ZrTa2Ge structure, from OQMD.

Unit cell a=4.7016 b=4.7016 c=4.7016 alpha=60.00 beta=60.00 gamma=60.00
Closest atoms and distances in Å follow each position.
Fractional positions:
Zr1 0.2500 0.2500 0.2500  4 Ge 2.88, 4 Ta 2.88
Ta1 0.0000 0.0000 0.0000  4 Zr 2.88, 4 Ta 2.88
Ta2 0.7500 0.7500 0.7500  4 Ge 2.88, 4 Ta 2.88
Ge1 0.5000 0.5000 0.5000  4 Ta 2.88, 4 Zr 2.88

magnetic moment	0.00	μB/f.u.
DFT total energy	-9.25	eV per atom
symmetry	No. 216

---

# 17
The following is a GGA-PBE calculation of a geometry-optimized Y5Tl3Cd structure, from OQMD.

Unit cell a=9.2762 b=9.2762 c=6.7594 alpha=90.00 beta=90.00 gamma=60.00
Closest atoms and distances in Å follow each position.
Fractional positions:
Tl1 0.6247 0.0000 0.7500  9 Y 3.15-3.48
Tl2 0.0000 0.6247 0.2500  9 Y 3.15-3.48
Tl3 0.6247 0.3753 0.2500  9 Y 3.15-3.48
Tl4 0.3753 0.6247 0.7500  9 Y 3.15-3.48
Tl5 0.3753 0.0000 0.2500  9 Y 3.15-3.48
Tl6 0.0000 0.3753 0.7500  9 Y 3.15-3.48
Y1 0.6666 0.6666 0.0000  6 Tl 3.37, 8 Y 3.38-3.74
Y2 0.7147 0.2853 0.7500  2 Cd 3.14, 5 Tl 3.15-3.48
Y3 0.7147 0.0000 0.2500  2 Cd 3.14, 5 Tl 3.15-3.48
Y4 0.3334 0.3334 0.5000  6 Tl 3.37, 8 Y 3.38-3.74
Y5 0.3334 0.3334 0.0000  6 Tl 3.37, 8 Y 3.38-3.74
Y6 0.2853 0.7147 0.2500  2 Cd 3.14, 5 Tl 3.15-3.48
Y7 0.6666 0.6666 0.5000  6 Tl 3.37, 8 Y 3.38-3.74
Y8 0.0000 0.2853 0.2500  2 Cd 3.14, 5 Tl 3.15-3.48
Y9 0.2853 0.0000 0.7500  2 Cd 3.14, 5 Tl 3.15-3.48
Y10 0.0000 0.7147 0.7500  2 Cd 3.14, 5 Tl 3.15-3.48
Cd1 0.0000 0.0000 0.0000  6 Y 3.14, 2 Cd 3.38
Cd2 0.0000 0.0000 0.5000  6 Y 3.14, 2 Cd 3.38

magnetic moment	0.18	μB/f.u.
DFT total energy	-4.86	eV per atom
symmetry	No. 193

---

# 18
The following is a GGA-PBE calculation of a geometry-optimized RbDyPtS3 structure, from OQMD.

Unit cell a=8.0476 b=8.0476 c=10.0985 alpha=90.00 beta=90.00 gamma=151.71
Closest atoms and distances in Å follow each position.
Fractional positions:
Dy1 0.0000 0.0000 0.5000  6 S 2.75-2.82
Dy2 0.0000 0.0000 0.0000  6 S 2.75-2.82
S1 0.3867 0.6133 0.5751  1 Pt 2.40
S2 0.3867 0.6133 0.9249  1 Pt 2.40
S3 0.6133 0.3867 0.0751  1 Pt 2.40
S4 0.9201 0.0799 0.2500  2 Pt 2.41
S5 0.0799 0.9201 0.7500  2 Pt 2.41
S6 0.6133 0.3867 0.4249  1 Pt 2.40
Pt1 0.5094 0.4906 0.2500  4 S 2.40-2.41
Pt2 0.4906 0.5094 0.7500  4 S 2.40-2.41
Rb1 0.2466 0.7534 0.2500  6 S 3.35-3.36
Rb2 0.7534 0.2466 0.7500  6 S 3.35-3.36

magnetic moment	0.01	μB/f.u.
DFT total energy	-5.18	eV per atom
symmetry	No. 63

---

# 19
The following is a GGA-PBE calculation of a geometry-optimized TmZnInS3 structure, from OQMD.

Unit cell a=4.0136 b=11.3118 c=11.8447 alpha=90.00 beta=90.00 gamma=90.00
Closest atoms and distances in Å follow each position.
Fractional positions:
S1 0.2500 0.2298 0.1962  2 Zn 2.40
S2 0.2500 0.3999 0.9386  1 Zn 2.34
S3 0.2500 0.5407 0.6764  1 Zn 2.34
S4 0.2500 0.0407 0.8236  1 Zn 2.34
S5 0.2500 0.7298 0.3038  2 Zn 2.40
S6 0.7500 0.9593 0.1764  1 Zn 2.34
S7 0.2500 0.8999 0.5614  1 Zn 2.34
S8 0.7500 0.4593 0.3236  1 Zn 2.34
S9 0.7500 0.7702 0.8038  2 Zn 2.40
S10 0.7500 0.1001 0.4386  1 Zn 2.34
S11 0.7500 0.2702 0.6962  2 Zn 2.40
S12 0.7500 0.6001 0.0614  1 Zn 2.34
In1 0.2500 0.3403 0.5156  3 S 2.96-3.04
In2 0.7500 0.1597 0.0156  3 S 2.96-3.04
In3 0.2500 0.8403 0.9844  3 S 2.96-3.04
In4 0.7500 0.6597 0.4844  3 S 2.96-3.04
Tm1 0.2500 0.9750 0.3325  6 S 2.73-2.84
Tm2 0.2500 0.4750 0.1675  6 S 2.73-2.84
Tm3 0.7500 0.0250 0.6675  6 S 2.73-2.84
Tm4 0.7500 0.5250 0.8325  6 S 2.73-2.84
Zn1 0.7500 0.7531 0.1942  4 S 2.34-2.40
Zn2 0.7500 0.2531 0.3058  4 S 2.34-2.40
Zn3 0.2500 0.2469 0.8058  4 S 2.34-2.40
Zn4 0.2500 0.7469 0.6942  4 S 2.34-2.40

magnetic moment	0.00	μB/f.u.
DFT total energy	-4.58	eV per atom
symmetry	No. 62

---

# 20
The following is a GGA-PBE calculation of a geometry-optimized ErTmTlTe3 structure, from OQMD.

Unit cell a=7.9464 b=7.9464 c=11.9009 alpha=90.00 beta=90.00 gamma=148.06
Closest atoms and distances in Å follow each position.
Fractional positions:
Tl1 0.7471 0.2529 0.7500  2 Er 3.54, 8 Te 3.60-3.81
Tl2 0.2529 0.7471 0.2500  2 Er 3.54, 8 Te 3.60-3.81
Te1 0.8588 0.1412 0.4740  1 Er 2.91, 2 Tm 3.09
Te2 0.5659 0.4341 0.2500  2 Er 2.96, 2 Tm 3.14
Te3 0.4341 0.5659 0.7500  2 Er 2.96, 2 Tm 3.14
Te4 0.1412 0.8588 0.5260  1 Er 2.91, 2 Tm 3.09
Te5 0.1412 0.8588 0.9740  1 Er 2.91, 2 Tm 3.09
Te6 0.8588 0.1412 0.0260  1 Er 2.91, 2 Tm 3.09
Tm1 0.5000 0.5000 0.5000  6 Te 3.09-3.14
Tm2 0.5000 0.5000 0.0000  6 Te 3.09-3.14
Er1 0.0647 0.9353 0.7500  4 Te 2.91-2.96
Er2 0.9353 0.0647 0.2500  4 Te 2.91-2.96

magnetic moment	0.28	μB/f.u.
DFT total energy	-4.41	eV per atom
symmetry	No. 63